(1)
Here is crystalline SiNiHg2 at its relaxed geometry from Alexandria via LeMat-Bulk. Energies are from PBE.

Cell lengths 4.082, 4.082, 8.525 Å; angles 90.00, 90.00, 90.00 degrees
Space group I-4m2 (No. 119)
Symmetry-distinct sites (fractional):
Si: 0.000 0.000 0.000
Ni: 0.000 0.500 0.250
Hg: 0.000 0.000 0.500
Hg: 0.000 0.500 0.750

Output
* total magnetization: 0.000 μB per formula unit
* ΔE_f (raw): 0.47 eV per atom

***

(2)
Here is crystalline SiNiHg2 at its relaxed geometry from Alexandria via LeMat-Bulk. Energies are from PBE.

Cell lengths 6.640, 6.640, 6.640 Å; angles 90.00, 90.00, 90.00 degrees
Space group F-43m (No. 216)
Symmetry-distinct sites (fractional):
Si: 0.000 0.000 0.000
Ni: 0.250 0.250 0.750
Hg: 0.000 0.000 0.500
Hg: 0.250 0.250 0.250

Output
* total magnetization: 0.003 μB per formula unit
* ΔE_f (raw): 0.55 eV per atom

***

(3)
Here is crystalline SiNiHg2 at its relaxed geometry from Alexandria via LeMat-Bulk. Energies are from PBE.

Cell lengths 4.128, 4.128, 8.353 Å; angles 90.00, 90.00, 90.00 degrees
Space group I4/mmm (No. 139)
Symmetry-distinct sites (fractional):
Si: 0.000 0.000 0.000
Ni: 0.000 0.000 0.500
Hg: 0.000 0.500 0.250

Output
* total magnetization: 0.000 μB per formula unit
* ΔE_f (raw): 0.47 eV per atom

***

(4)
Here is crystalline Si2Ni2Hg at its relaxed geometry from Alexandria via LeMat-Bulk. Energies are from PBE.

Cell lengths 7.203, 7.203, 2.735 Å; angles 90.00, 90.00, 90.00 degrees
Space group P4/mbm (No. 127)
Symmetry-distinct sites (fractional):
Si: 0.149 0.351 0.000
Ni: 0.134 0.634 0.500
Hg: 0.000 0.000 0.500

Output
* total magnetization: 0.000 μB per formula unit
* ΔE_f (raw): 0.01 eV per atom
* E above lowest polymorph: 0.794 eV/f.u.

***

(5)
Here is crystalline SiNiHg2 at its relaxed geometry from Alexandria via LeMat-Bulk. Energies are from PBE.

Cell lengths 2.772, 3.807, 14.289 Å; angles 90.00, 90.00, 90.00 degrees
Space group Immm (No. 71)
Symmetry-distinct sites (fractional):
Si: 0.000 0.000 0.000
Ni: 0.000 0.000 0.500
Hg: 0.000 0.500 0.175

Output
* total magnetization: 0.000 μB per formula unit
* ΔE_f (raw): 0.07 eV per atom

***

(6)
Here is crystalline SiNiHg2 at its relaxed geometry from Alexandria via LeMat-Bulk. Energies are from PBE.

Cell lengths 2.793, 3.269, 8.281 Å; angles 90.00, 90.00, 90.00 degrees
Space group Pmm2 (No. 25)
Symmetry-distinct sites (fractional):
Si: 0.000 0.000 0.000
Ni: 0.500 0.500 0.120
Hg: 0.000 0.000 0.367
Hg: 0.500 0.500 0.700

Output
* total magnetization: 0.000 μB per formula unit
* ΔE_f (raw): 0.12 eV per atom

***

(7)
Here is crystalline SiNi3Hg at its relaxed geometry from Alexandria via LeMat-Bulk. Energies are from PBE.

Cell lengths 4.248, 4.248, 4.248 Å; angles 90.00, 90.00, 90.00 degrees
Space group Pm-3m (No. 221)
Symmetry-distinct sites (fractional):
Si: 0.000 0.000 0.000
Ni: 0.000 0.000 0.500
Hg: 0.500 0.500 0.500

Output
* total magnetization: 0.000 μB per formula unit
* ΔE_f (raw): 0.26 eV per atom
* E above lowest polymorph: 0.000 eV/f.u.

***

(8)
Here is crystalline SiNiHg2 at its relaxed geometry from Alexandria via LeMat-Bulk. Energies are from PBE.

Cell lengths 8.066, 2.862, 7.158 Å; angles 90.00, 108.08, 90.00 degrees
Space group Cm (No. 8)
Symmetry-distinct sites (fractional):
Si: 0.000 0.000 0.000
Ni: 0.218 0.500 0.001
Hg: 0.184 0.000 0.658
Hg: 0.365 0.000 0.345

Output
* total magnetization: 0.000 μB per formula unit
* ΔE_f (raw): 0.11 eV per atom

***

(9)
Here is crystalline Si2Ni2Hg at its relaxed geometry from Alexandria via LeMat-Bulk. Energies are from PBE.

Cell lengths 3.546, 3.546, 11.478 Å; angles 90.00, 90.00, 90.00 degrees
Space group I4/mmm (No. 139)
Symmetry-distinct sites (fractional):
Si: 0.000 0.500 0.250
Ni: 0.000 0.000 0.120
Hg: 0.000 0.000 0.500

Output
* total magnetization: 0.000 μB per formula unit
* ΔE_f (raw): -0.14 eV per atom
* E above lowest polymorph: 0.000 eV/f.u.

***

(10)
Here is crystalline SiNiHg2 at its relaxed geometry from Alexandria via LeMat-Bulk. Energies are from PBE.

Cell lengths 3.128, 4.939, 4.866 Å; angles 90.00, 97.05, 90.00 degrees
Space group P2/m (No. 10)
Symmetry-distinct sites (fractional):
Si: 0.000 0.000 0.000
Ni: 0.500 0.000 0.500
Hg: 0.237 0.500 0.257

Output
* total magnetization: 0.000 μB per formula unit
* ΔE_f (raw): 0.46 eV per atom

***

(11)
Here is crystalline SiNiHg2 at its relaxed geometry from Alexandria via LeMat-Bulk. Energies are from PBE.

Cell lengths 2.853, 4.589, 11.735 Å; angles 90.00, 90.00, 90.00 degrees
Space group Imm2 (No. 44)
Symmetry-distinct sites (fractional):
Si: 0.000 0.000 0.000
Ni: 0.000 0.500 0.655
Hg: 0.000 0.000 0.370
Hg: 0.000 0.500 0.175

Output
* total magnetization: 0.000 μB per formula unit
* ΔE_f (raw): 0.19 eV per atom

***

(12)
Here is crystalline SiNiHg2 at its relaxed geometry from Alexandria via LeMat-Bulk. Energies are from PBE.

Cell lengths 2.9977, 2.9977, 28.7736 Å; angles 90.00, 90.00, 120.00 degrees
Space group R-3m (No. 166, hexagonal axes)
Symmetry-distinct sites (fractional):
Si: 0.0000 0.0000 0.0000
Ni: 0.0000 0.0000 0.5000
Hg: 0.0000 0.0000 0.2394

Output
* total magnetization: 0.169 μB per formula unit
* ΔE_f (raw): 0.47 eV per atom